GGA-PBE LaPrCd, optimized geometry; symmetry = I4mm; polymorph energy (0 for the lowest one) = 0 meV/atom; total energy = -3.744 eV/atom
1.0
-2.595 1.547 2.419
2.208 -1.011 3.014
3.275 5.435 -3.060
Pr Cd La
1 1 1
direct
0.318 0.318 0.636
0.670 0.670 0.339
0.013 0.013 0.025

GGA-PBE LaPr2Cd2, optimized geometry; symmetry = Cmc2_1; polymorph energy (0 for the lowest one) = 58 meV/atom; total energy = -3.461 eV/atom
1.0
5.588 0.000 0.000
0.000 6.744 0.000
-2.794 0.000 8.179
La Pr Cd
2 4 4
direct
0.589 0.915 0.178
0.411 0.415 0.822
0.024 0.282 0.048
0.203 0.629 0.407
0.797 0.129 0.593
0.976 0.782 0.952
0.623 0.414 0.247
0.203 0.125 0.407
0.797 0.625 0.593
0.377 0.914 0.753

GGA-PBE La4Pr4Cd, optimized geometry; symmetry = I222; polymorph energy (0 for the lowest one) = 206 meV/atom; total energy = -4.235 eV/atom
1.0
-3.940 -9.360 -5.341
2.258 -3.758 4.919
-2.962 6.980 2.278
La Pr Cd
4 4 1
direct
0.000 0.500 0.000
0.500 0.000 0.000
0.338 0.338 0.677
0.662 0.662 0.323
0.101 0.626 0.708
0.393 0.374 0.292
0.607 0.082 0.708
0.899 0.918 0.292
0.000 0.000 0.000

Summary of ΔE_f in eV/f.u.
-0.6 -1.0 1.6
(order as listed above)
Summary of spin magnetization in μB/atom
0.164 0.000 0.000
(order as listed above)